# PBE LaHfNbRu2, relaxed
# Electronic total energy, eV/atom: -7.887
# M_tot, Bohr magnetons per cell: 0.00
data_LaHfNbRu2
_cell_length_a 4.880
_cell_length_b 4.880
_cell_length_c 4.926
_cell_angle_alpha 90.00
_cell_angle_beta 90.00
_cell_angle_gamma 90.00
_space_group_name_H-M_alt 'P 4/m m m'
_space_group_IT_number 123
_space_group_name_Hall '-P 4 2'
loop_
_atom_site_label
_atom_site_fract_x
_atom_site_fract_y
_atom_site_fract_z
La1 0.000 0.000 0.000
Hf1 0.500 0.500 0.500
Nb1 0.500 0.500 0.000
Ru1 0.000 0.500 0.500

***

# PBE LaHfNb2Se, relaxed
# Electronic total energy, eV/atom: -6.656
# Raw formation energy, eV per atom: 1.05
# M_tot, Bohr magnetons per cell: 0.48
data_LaHfNb2Se
_cell_length_a 4.846
_cell_length_b 4.846
_cell_length_c 6.139
_cell_angle_alpha 90.00
_cell_angle_beta 90.00
_cell_angle_gamma 90.00
_space_group_name_H-M_alt 'P 4/m m m'
_space_group_IT_number 123
_space_group_name_Hall '-P 4 2'
loop_
_atom_site_label
_atom_site_fract_x
_atom_site_fract_y
_atom_site_fract_z
La1 0.000 0.000 0.000
Hf1 0.000 0.000 0.500
Nb1 0.000 0.500 0.500
Se1 0.500 0.500 0.000

***

# PBE LaHfZr2Nb, relaxed
# Electronic total energy, eV/atom: -7.815
# M_tot, Bohr magnetons per cell: 0.00
data_LaHfZr2Nb
_cell_length_a 5.198
_cell_length_b 5.198
_cell_length_c 5.235
_cell_angle_alpha 90.00
_cell_angle_beta 90.00
_cell_angle_gamma 90.00
_space_group_name_H-M_alt 'P 4/m m m'
_space_group_IT_number 123
_space_group_name_Hall '-P 4 2'
loop_
_atom_site_label
_atom_site_fract_x
_atom_site_fract_y
_atom_site_fract_z
La1 0.000 0.000 0.000
Hf1 0.500 0.500 0.000
Zr1 0.000 0.500 0.500
Nb1 0.500 0.500 0.500

***

# PBE La2NdHf, relaxed
# Electronic total energy, eV/atom: -5.932
# M_tot, Bohr magnetons per cell: 0.00
data_La2NdHf
_cell_length_a 4.101
_cell_length_b 4.101
_cell_length_c 7.587
_cell_angle_alpha 90.00
_cell_angle_beta 90.00
_cell_angle_gamma 90.00
_space_group_name_H-M_alt 'P 4/m m m'
_space_group_IT_number 123
_space_group_name_Hall '-P 4 2'
loop_
_atom_site_label
_atom_site_fract_x
_atom_site_fract_y
_atom_site_fract_z
La1 0.000 0.000 0.219
Nd1 0.500 0.500 0.500
Hf1 0.500 0.500 0.000

***

# PBE La2NdHf, relaxed
# Electronic total energy, eV/atom: -5.953
# M_tot, Bohr magnetons per cell: 0.00
data_La2NdHf
_cell_length_a 5.044
_cell_length_b 5.044
_cell_length_c 4.966
_cell_angle_alpha 90.00
_cell_angle_beta 90.00
_cell_angle_gamma 90.00
_space_group_name_H-M_alt 'P 4/m m m'
_space_group_IT_number 123
_space_group_name_Hall '-P 4 2'
loop_
_atom_site_label
_atom_site_fract_x
_atom_site_fract_y
_atom_site_fract_z
La1 0.000 0.500 0.000
Nd1 0.000 0.000 0.500
Hf1 0.500 0.500 0.500

***

# PBE La2NdHf, relaxed
# Electronic total energy, eV/atom: -5.757
# M_tot, Bohr magnetons per cell: 0.00
data_La2NdHf
_cell_length_a 3.3920
_cell_length_b 3.3920
_cell_length_c 37.7168
_cell_angle_alpha 90.00
_cell_angle_beta 90.00
_cell_angle_gamma 120.00
_space_group_name_H-M_alt 'R -3 m'
_space_group_IT_number 166
_space_group_name_Hall '-R 3 2"'
loop_
_atom_site_label
_atom_site_fract_x
_atom_site_fract_y
_atom_site_fract_z
La1 0.0000 0.0000 0.0810
Nd1 0.0000 0.0000 0.5000
Hf1 0.0000 0.0000 0.0000

***

# PBE La2NdHfP4, relaxed
# Electronic total energy, eV/atom: -7.240
# M_tot, Bohr magnetons per cell: 0.00
data_La2NdHfP4
_cell_length_a 7.070
_cell_length_b 4.072
_cell_length_c 7.103
_cell_angle_alpha 90.00
_cell_angle_beta 109.09
_cell_angle_gamma 90.00
_space_group_name_H-M_alt 'P 1 2/m 1'
_space_group_IT_number 10
loop_
_space_group_symop_operation_xyz
'x,y,z'
'-x,-y,-z'
'-x,y,-z'
'x,-y,z'
loop_
_atom_site_label
_atom_site_fract_x
_atom_site_fract_y
_atom_site_fract_z
La1 0.000 0.000 0.000
La2 0.500 0.500 0.000
Nd1 0.000 0.500 0.500
Hf1 0.500 0.000 0.500
P1 0.261 0.000 0.733
P2 0.274 0.500 0.276

***

# PBE La2HfNi, relaxed
# Electronic total energy, eV/atom: -6.003
# M_tot, Bohr magnetons per cell: 1.72
data_La2HfNi
_cell_length_a 3.4528
_cell_length_b 3.4528
_cell_length_c 30.7278
_cell_angle_alpha 90.00
_cell_angle_beta 90.00
_cell_angle_gamma 120.00
_space_group_name_H-M_alt 'R -3 m'
_space_group_IT_number 166
_space_group_name_Hall '-R 3 2"'
loop_
_atom_site_label
_atom_site_fract_x
_atom_site_fract_y
_atom_site_fract_z
La1 0.0000 0.0000 0.1018
Hf1 0.0000 0.0000 0.0000
Ni1 0.0000 0.0000 0.5000

***

# PBE La2Hf2Ni, relaxed
# Electronic total energy, eV/atom: -7.005
# M_tot, Bohr magnetons per cell: 0.00
data_La2Hf2Ni
_cell_length_a 6.852
_cell_length_b 6.852
_cell_length_c 5.449
_cell_angle_alpha 90.00
_cell_angle_beta 90.00
_cell_angle_gamma 90.00
_space_group_name_H-M_alt 'P 4/m b m'
_space_group_IT_number 127
_space_group_name_Hall '-P 4 2ab'
loop_
_atom_site_label
_atom_site_fract_x
_atom_site_fract_y
_atom_site_fract_z
La1 0.167 0.333 0.000
Hf1 0.156 0.656 0.500
Ni1 0.000 0.000 0.500

***

# PBE LaHfNi2, relaxed
# Electronic total energy, eV/atom: -6.507
# M_tot, Bohr magnetons per cell: 0.00
data_LaHfNi2
_cell_length_a 7.124
_cell_length_b 7.124
_cell_length_c 6.565
_cell_angle_alpha 90.00
_cell_angle_beta 90.00
_cell_angle_gamma 90.00
_space_group_name_H-M_alt 'I -4 2 d'
_space_group_IT_number 122
_space_group_name_Hall 'I -4 2bw'
loop_
_atom_site_label
_atom_site_fract_x
_atom_site_fract_y
_atom_site_fract_z
La1 0.000 0.000 0.000
Hf1 0.000 0.000 0.500
Ni1 0.216 0.750 0.625

***

# PBE La2HfNi9, relaxed
# Electronic total energy, eV/atom: -6.291
# M_tot, Bohr magnetons per cell: 0.00
data_La2HfNi9
_cell_length_a 4.9040
_cell_length_b 4.9040
_cell_length_c 25.2684
_cell_angle_alpha 90.00
_cell_angle_beta 90.00
_cell_angle_gamma 120.00
_space_group_name_H-M_alt 'R -3 m'
_space_group_IT_number 166
_space_group_name_Hall '-R 3 2"'
loop_
_atom_site_label
_atom_site_fract_x
_atom_site_fract_y
_atom_site_fract_z
La1 0.0000 0.0000 0.1363
Hf1 0.0000 0.0000 0.0000
Ni1 0.0000 0.0000 0.3330
Ni2 0.0000 0.0000 0.5000
Ni3 0.0008 0.5004 0.0777

***

# PBE LaHf3Ni, relaxed
# Electronic total energy, eV/atom: -6.222
# M_tot, Bohr magnetons per cell: 0.00
data_LaHf3Ni
_cell_length_a 5.083
_cell_length_b 5.083
_cell_length_c 5.083
_cell_angle_alpha 90.00
_cell_angle_beta 90.00
_cell_angle_gamma 90.00
_space_group_name_H-M_alt 'P m -3 m'
_space_group_IT_number 221
_space_group_name_Hall '-P 4 2 3'
loop_
_atom_site_label
_atom_site_fract_x
_atom_site_fract_y
_atom_site_fract_z
La1 0.000 0.000 0.000
Hf1 0.000 0.000 0.500
Ni1 0.500 0.500 0.500

***

Question: The highest M_tot belongs to which entry?
Answer: La2HfNi

***

Question: Which value of electronic total energy does entry 1 give?
Answer: -7.887 eV/atom